Density functional theory data (PBE) for K3BaS after structural relaxation.

Computed properties:
calculated volume = 428.54 Å³/f.u.
energy above the most stable polymorph in this dataset = 1.078 eV per atom
ΔE_f (raw) = 0.720 eV/atom
SG = No. 221

Cell: 7.5393 7.5393 7.5393 Å, 90.00 90.00 90.00°
Last column: nearest neighbours and their distance in Å.
Fractional positions:
Ba  0.0000  0.0000  0.0000  6 K 3.77
K  0.0000  0.5000  0.0000  2 Ba 3.77
K  0.5000  0.0000  0.0000  2 Ba 3.77
K  0.0000  0.0000  0.5000  2 Ba 3.77
S  0.5000  0.5000  0.5000  12 K 5.33

=====

Density functional theory data (PBE) for Pr3NdY6 after structural relaxation.

Computed properties:
calculated volume = 342.34 Å³/f.u.
energy relative to the elements = 0.266 eV/atom
energy above the most stable polymorph in this dataset = 0.128 eV per atom
SG = No. 146

Cell: 10.0360 10.0360 6.9984 Å, 44.19 44.19 60.00°
Last column: nearest neighbours and their distance in Å.
Fractional positions:
Y  0.7741  0.0990  0.7007  2 Pr 3.27-3.52, 1 Nd 3.52
Y  0.0990  0.4262  0.7007  2 Pr 3.27-3.52, 1 Nd 3.52
Y  0.6002  0.2733  0.2009  2 Pr 3.27-3.53, 1 Nd 3.52
Y  0.9255  0.6002  0.2009  2 Pr 3.27-3.53, 1 Nd 3.52
Y  0.2733  0.9255  0.2009  2 Pr 3.27-3.53, 1 Nd 3.52
Y  0.4262  0.7741  0.7007  2 Pr 3.27-3.52, 1 Nd 3.52
Pr  0.6008  0.6008  0.1977  1 Nd 2.94, 1 Pr 2.95, 3 Y 3.27
Pr  0.0999  0.0999  0.7002  1 Nd 2.94, 1 Pr 2.95, 3 Y 3.27
Pr  0.3505  0.3505  0.9486  2 Pr 2.95
Nd  0.8505  0.8505  0.4485  2 Pr 2.94

=====

Density functional theory data (PBE) for PmDySbO6 after structural relaxation.

Computed properties:
calculated volume = 134.65 Å³/f.u.
ΔE_f (raw) = -2.403 eV/atom
SG = No. 163

Cell: 5.6771 5.6771 9.6483 Å, 90.00 90.00 120.00°
Last column: nearest neighbours and their distance in Å.
Fractional positions:
Dy  0.6667  0.3333  0.7500  6 O 2.29
Dy  0.3333  0.6667  0.2500  6 O 2.29
Sb  0.6667  0.3333  0.2500  6 O 2.01
Sb  0.3333  0.6667  0.7500  6 O 2.01
O  0.6316  0.6680  0.6364  1 Sb 2.01
O  0.9636  0.3320  0.1364  1 Sb 2.01
O  0.3684  0.0364  0.1364  1 Sb 2.01
O  0.6680  0.6316  0.1364  1 Sb 2.01
O  0.9636  0.6316  0.3636  1 Sb 2.01
O  0.3684  0.3320  0.3636  1 Sb 2.01
O  0.3320  0.3684  0.8636  1 Sb 2.01
O  0.6316  0.9636  0.8636  1 Sb 2.01
O  0.6680  0.0364  0.3636  1 Sb 2.01
O  0.3320  0.9636  0.6364  1 Sb 2.01
O  0.0364  0.6680  0.8636  1 Sb 2.01
O  0.0364  0.3684  0.6364  1 Sb 2.01
Pm  0.0000  0.0000  0.0000  6 O 2.39
Pm  0.0000  0.0000  0.5000  6 O 2.39

=====

Density functional theory data (PBE) for TiTe2Pt after structural relaxation.

Computed properties:
calculated volume = 96.86 Å³/f.u.
energy above the most stable polymorph in this dataset = 0.452 eV per atom
ΔE_f (raw) = -0.195 eV/atom
SG = No. 166

Cell: 8.9444 8.9444 8.9444 Å, 23.12 23.12 23.12°
Last column: nearest neighbours and their distance in Å.
Fractional positions:
Ti  0.5000  0.5000  0.5000  6 Te 2.74
Pt  0.0000  0.0000  0.0000  2 Te 2.55
Te  0.9023  0.9023  0.9023  1 Pt 2.55, 3 Ti 2.74
Te  0.0977  0.0977  0.0977  1 Pt 2.55, 3 Ti 2.74

=====

Density functional theory data (PBE) for GaAgGeO4 after structural relaxation.

Computed properties:
calculated volume = 107.59 Å³/f.u.
ΔE_f (raw) = -1.375 eV/atom
SG = No. 82

Cell: 5.2127 5.2127 5.4095 Å, 118.80 118.80 90.00°
Last column: nearest neighbours and their distance in Å.
Fractional positions:
Ag  0.0000  0.0000  0.0000  4 O 2.42
O  0.2219  0.1134  0.7477  1 Ge 1.77, 1 Ga 1.86
O  0.3657  0.7781  0.2523  1 Ge 1.77, 1 Ga 1.86
O  0.5258  0.6343  0.7477  1 Ge 1.77, 1 Ga 1.86
O  0.8866  0.4742  0.2523  1 Ge 1.77, 1 Ga 1.86
Ge  0.2500  0.7500  0.5000  4 O 1.77
Ga  0.5000  0.5000  0.0000  4 O 1.86

=====

Density functional theory data (PBE) for DyAg2Pb after structural relaxation.

Computed properties:
calculated volume = 93.02 Å³/f.u.
energy relative to the elements = -0.205 eV/atom
SG = No. 123

Cell: 4.5413 4.5258 4.5258 Å, 90.00 90.00 90.00°
Last column: nearest neighbours and their distance in Å.
Fractional positions:
Pb  0.5000  0.0000  0.0000  4 Dy 3.20, 8 Ag 3.21
Dy  0.5000  0.5000  0.5000  4 Pb 3.20, 8 Ag 3.21
Ag  0.0000  0.5000  0.0000  4 Ag 3.20, 4 Dy 3.21, 4 Pb 3.21
Ag  0.0000  0.0000  0.5000  4 Ag 3.20, 4 Dy 3.21, 4 Pb 3.21

=====

Density functional theory data (PBE) for SmDy2Ho2Tm2 after structural relaxation.

Computed properties:
calculated volume = 217.94 Å³/f.u.
energy relative to the elements = 0.020 eV/atom
SG = No. 12

Cell: 4.9974 6.1101 7.9014 Å, 97.43 90.00 114.14°
Last column: nearest neighbours and their distance in Å.
Fractional positions:
Ho  0.5716  0.1432  0.7143  5 Dy 3.53, 4 Tm 3.53, 1 Ho 3.53, 2 Sm 3.53
Ho  0.4284  0.8568  0.2857  5 Dy 3.53, 4 Tm 3.53, 1 Ho 3.53, 2 Sm 3.53
Tm  0.7144  0.4288  0.1432  3 Dy 3.52-3.54, 4 Ho 3.53, 3 Sm 3.53, 2 Tm 3.54
Tm  0.2856  0.5712  0.8568  3 Dy 3.52-3.54, 4 Ho 3.53, 3 Sm 3.53, 2 Tm 3.54
Sm  0.0000  0.0000  0.0000  6 Tm 3.53, 4 Ho 3.53, 2 Dy 3.54
Dy  0.8573  0.7145  0.5704  3 Dy 3.52-3.53, 3 Tm 3.52-3.54, 5 Ho 3.53, 1 Sm 3.54
Dy  0.1427  0.2855  0.4296  3 Dy 3.52-3.53, 3 Tm 3.52-3.54, 5 Ho 3.53, 1 Sm 3.54

=====

Density functional theory data (PBE) for Na2Ca2In3 after structural relaxation.

Computed properties:
calculated volume = 212.03 Å³/f.u.
energy relative to the elements = -0.260 eV/atom
SG = No. 65

Cell: 3.9084 3.7261 14.6897 Å, 90.00 82.36 90.00°
Last column: nearest neighbours and their distance in Å.
Fractional positions:
In  0.1348  0.0000  0.7304  4 Na 3.30, 4 Ca 3.35
In  0.8652  0.0000  0.2696  4 Na 3.30, 4 Ca 3.35
In  0.0000  0.0000  0.0000  8 Ca 3.32
Ca  0.4335  0.5000  0.1331  8 In 3.32-3.35
Ca  0.5665  0.5000  0.8669  8 In 3.32-3.35
Na  0.6997  0.5000  0.6006  4 In 3.30, 2 Na 3.52
Na  0.3003  0.5000  0.3994  4 In 3.30, 2 Na 3.52

=====

Density functional theory data (PBE) for TbTm2InPd4 after structural relaxation.

Computed properties:
calculated volume = 162.23 Å³/f.u.
energy relative to the elements = -0.857 eV/atom
SG = No. 166

Cell: 4.8581 4.8581 8.4182 Å, 73.23 73.23 60.00°
Last column: nearest neighbours and their distance in Å.
Fractional positions:
In  0.5000  0.5000  0.5000  8 Pd 2.98-2.99
Pd  0.8768  0.8768  0.3695  4 Tm 2.91-2.93, 1 Tb 2.93, 3 In 2.99
Pd  0.3748  0.3748  0.8758  3 Tb 2.97, 1 In 2.98, 4 Tm 3.02-3.08
Pd  0.6252  0.6252  0.1242  3 Tb 2.97, 1 In 2.98, 4 Tm 3.02-3.08
Pd  0.1232  0.1232  0.6305  4 Tm 2.91-2.93, 1 Tb 2.93, 3 In 2.99
Tm  0.2452  0.2452  0.2643  8 Pd 2.91-3.08
Tm  0.7548  0.7548  0.7357  8 Pd 2.91-3.08
Tb  0.0000  0.0000  0.0000  8 Pd 2.93-2.97

=====

Density functional theory data (PBE) for YBeFe2Si2 after structural relaxation.

Computed properties:
calculated volume = 81.84 Å³/f.u.
ΔE_f (raw) = -0.436 eV/atom
SG = No. 123

Cell: 3.9760 3.9760 5.1765 Å, 90.00 90.00 90.00°
Last column: nearest neighbours and their distance in Å.
Fractional positions:
Y  0.0000  0.0000  0.5000  2 Be 2.59
Si  0.5000  0.5000  0.2557  4 Fe 2.39, 2 Si 2.53-2.65
Si  0.5000  0.5000  0.7443  4 Fe 2.39, 2 Si 2.53-2.65
Fe  0.0000  0.5000  0.0000  2 Be 1.99
Fe  0.5000  0.0000  0.0000  2 Be 1.99
Be  0.0000  0.0000  0.0000  4 Fe 1.99

=====

Density functional theory data (PBE) for BaScRu3 after structural relaxation.

Computed properties:
calculated volume = 120.06 Å³/f.u.
energy relative to the elements = 2.122 eV/atom
energy above the most stable polymorph in this dataset = 1.071 eV per atom
SG = No. 221

Cell: 4.9333 4.9333 4.9333 Å, 90.00 90.00 90.00°
Last column: nearest neighbours and their distance in Å.
Fractional positions:
Sc  0.5000  0.5000  0.5000  12 Ru 3.49
Ru  0.0000  0.0000  0.5000  2 Ba 2.47
Ru  0.0000  0.5000  0.0000  2 Ba 2.47
Ru  0.5000  0.0000  0.0000  2 Ba 2.47
Ba  0.0000  0.0000  0.0000  6 Ru 2.47

=====

Density functional theory data (PBE) for TbPrHo4Se8 after structural relaxation.

Computed properties:
calculated volume = 427.66 Å³/f.u.
ΔE_f (raw) = -1.708 eV/atom
SG = No. 160

Cell: 8.4483 8.4483 8.4653 Å, 60.07 60.07 60.00°
Last column: nearest neighbours and their distance in Å.
Fractional positions:
Se  0.7552  0.7552  0.2593  3 Ho 2.73-2.89, 1 Tb 2.92
Se  0.2303  0.7552  0.2593  3 Ho 2.73-2.89, 1 Tb 2.92
Se  0.2401  0.7843  0.7356  1 Pr 2.83, 2 Ho 2.86, 1 Tb 2.89
Se  0.7843  0.2401  0.7356  1 Pr 2.83, 2 Ho 2.86, 1 Tb 2.89
Se  0.2401  0.2401  0.7356  1 Pr 2.83, 2 Ho 2.86, 1 Tb 2.89
Se  0.7552  0.2303  0.2593  3 Ho 2.73-2.89, 1 Tb 2.92
Se  0.7572  0.7572  0.7285  4 Ho 2.74-2.89
Se  0.2378  0.2378  0.2867  1 Pr 2.84, 3 Ho 2.86
Ho  0.9991  0.9991  0.4989  6 Se 2.86-2.89
Ho  0.6253  0.6253  0.1240  4 Se 2.73-2.74
Ho  0.9991  0.5030  0.4989  6 Se 2.86-2.89
Ho  0.5030  0.9991  0.4989  6 Se 2.86-2.89
Tb  0.9991  0.9991  0.0027  6 Se 2.89-2.92
Pr  0.3744  0.3744  0.8769  4 Se 2.83-2.84

=====

Density functional theory data (PBE) for ZrFeAu after structural relaxation.

Computed properties:
calculated volume = 63.16 Å³/f.u.
energy relative to the elements = 0.468 eV/atom
SG = No. 216

Cell: 4.4702 4.4702 4.4702 Å, 60.00 60.00 60.00°
Last column: nearest neighbours and their distance in Å.
Fractional positions:
Fe  0.5000  0.5000  0.5000  4 Zr 2.74
Au  0.0000  0.0000  0.0000  4 Zr 2.74
Zr  0.2500  0.2500  0.2500  4 Fe 2.74, 4 Au 2.74

=====

Density functional theory data (PBE) for TiTc3Ge3 after structural relaxation.

Computed properties:
calculated volume = 113.16 Å³/f.u.
energy relative to the elements = -0.119 eV/atom
SG = No. 148

Cell: 6.7517 6.7517 6.7517 Å, 61.78 61.78 61.78°
Last column: nearest neighbours and their distance in Å.
Fractional positions:
Ge  0.5222  0.0908  0.7009  4 Tc 2.54-2.72, 2 Ti 2.69-2.72
Ge  0.2991  0.4778  0.9092  4 Tc 2.54-2.72, 2 Ti 2.69-2.72
Ge  0.4778  0.9092  0.2991  4 Tc 2.54-2.72, 2 Ti 2.69-2.72
Ge  0.9092  0.2991  0.4778  4 Tc 2.54-2.72, 2 Ti 2.69-2.72
Ge  0.7009  0.5222  0.0908  4 Tc 2.54-2.72, 2 Ti 2.69-2.72
Ge  0.0908  0.7009  0.5222  4 Tc 2.54-2.72, 2 Ti 2.69-2.72
Ti  0.3406  0.3406  0.3406  6 Ge 2.69-2.72, 6 Tc 2.85-2.98
Ti  0.6594  0.6594  0.6594  6 Ge 2.69-2.72, 6 Tc 2.85-2.98
Tc  0.9304  0.7014  0.1728  4 Ge 2.54-2.72, 4 Tc 2.68-2.83
Tc  0.7014  0.1728  0.9304  4 Ge 2.54-2.72, 4 Tc 2.68-2.83
Tc  0.1728  0.9304  0.7014  4 Ge 2.54-2.72, 4 Tc 2.68-2.83
Tc  0.2986  0.8272  0.0696  4 Ge 2.54-2.72, 4 Tc 2.68-2.83
Tc  0.8272  0.0696  0.2986  4 Ge 2.54-2.72, 4 Tc 2.68-2.83
Tc  0.0696  0.2986  0.8272  4 Ge 2.54-2.72, 4 Tc 2.68-2.83

=====

Density functional theory data (PBE) for SnSBr3 after structural relaxation.

Computed properties:
calculated volume = 176.27 Å³/f.u.
energy above the most stable polymorph in this dataset = 0.000 eV per atom
ΔE_f (raw) = 0.129 eV/atom
SG = No. 221

Cell: 5.6070 5.6070 5.6070 Å, 90.00 90.00 90.00°
Last column: nearest neighbours and their distance in Å.
Fractional positions:
S  0.5000  0.5000  0.5000  12 Br 3.96
Br  0.5000  0.0000  0.0000  2 Sn 2.80
Br  0.0000  0.0000  0.5000  2 Sn 2.80
Br  0.0000  0.5000  0.0000  2 Sn 2.80
Sn  0.0000  0.0000  0.0000  6 Br 2.80

=====

Density functional theory data (PBE) for Ho2SnAu after structural relaxation.

Computed properties:
calculated volume = 103.34 Å³/f.u.
energy relative to the elements = -0.781 eV/atom
SG = No. 11

Cell: 4.4567 6.0763 8.1680 Å, 110.86 90.00 90.00°
Last column: nearest neighbours and their distance in Å.
Fractional positions:
Sn  0.7500  0.6735  0.7911  2 Au 2.99, 7 Ho 3.13-3.25
Sn  0.2500  0.3265  0.2089  2 Au 2.99, 7 Ho 3.13-3.25
Ho  0.2500  0.7763  0.0828  3 Au 3.03-3.33, 4 Sn 3.13-3.25
Ho  0.2500  0.7942  0.5626  3 Au 3.00-3.01, 3 Sn 3.16-3.25
Ho  0.7500  0.2058  0.4374  3 Au 3.00-3.01, 3 Sn 3.16-3.25
Ho  0.7500  0.2237  0.9172  3 Au 3.03-3.33, 4 Sn 3.13-3.25
Au  0.2500  0.3234  0.7029  2 Sn 2.99, 6 Ho 3.00-3.33
Au  0.7500  0.6766  0.2971  2 Sn 2.99, 6 Ho 3.00-3.33

=====

Density functional theory data (PBE) for TbCeLuPa after structural relaxation.

Computed properties:
calculated volume = 117.68 Å³/f.u.
energy relative to the elements = 0.359 eV/atom
SG = No. 216

Cell: 5.5006 5.5006 5.5006 Å, 60.00 60.00 60.00°
Last column: nearest neighbours and their distance in Å.
Fractional positions:
Ce  0.5000  0.5000  0.5000  4 Pa 3.37, 4 Lu 3.37
Pa  0.7500  0.7500  0.7500  4 Ce 3.37, 4 Tb 3.37
Tb  0.0000  0.0000  0.0000  4 Lu 3.37, 4 Pa 3.37
Lu  0.2500  0.2500  0.2500  4 Ce 3.37, 4 Tb 3.37

=====

Density functional theory data (PBE) for SrCeMgCd after structural relaxation.

Computed properties:
calculated volume = 125.24 Å³/f.u.
energy relative to the elements = -0.050 eV/atom
SG = No. 216

Cell: 5.6159 5.6159 5.6159 Å, 60.00 60.00 60.00°
Last column: nearest neighbours and their distance in Å.
Fractional positions:
Ce  0.5000  0.5000  0.5000  4 Cd 3.44, 4 Mg 3.44
Mg  0.2500  0.2500  0.2500  4 Ce 3.44, 4 Sr 3.44
Cd  0.7500  0.7500  0.7500  4 Ce 3.44, 4 Sr 3.44
Sr  0.0000  0.0000  0.0000  4 Mg 3.44, 4 Cd 3.44

=====

Density functional theory data (PBE) for NaSr2PaTe4 after structural relaxation.

Computed properties:
calculated volume = 277.19 Å³/f.u.
ΔE_f (raw) = -1.242 eV/atom
SG = No. 10

Cell: 4.5539 8.0570 7.9752 Å, 108.68 90.00 90.00°
Last column: nearest neighbours and their distance in Å.
Fractional positions:
Pa  0.5000  0.5000  0.0000  6 Te 3.13-3.18
Na  0.0000  0.0000  0.0000  6 Te 3.22-3.23
Te  0.0000  0.7407  0.2343  2 Pa 3.18, 1 Na 3.22, 3 Sr 3.30-3.35
Te  0.0000  0.2593  0.7657  2 Pa 3.18, 1 Na 3.22, 3 Sr 3.30-3.35
Te  0.5000  0.2550  0.2355  1 Pa 3.13, 2 Na 3.23, 3 Sr 3.30-3.38
Te  0.5000  0.7450  0.7645  1 Pa 3.13, 2 Na 3.23, 3 Sr 3.30-3.38
Sr  0.0000  0.5000  0.5000  6 Te 3.30
Sr  0.5000  0.0000  0.5000  6 Te 3.35-3.38

=====

Density functional theory data (PBE) for LiCaNd2Tl4 after structural relaxation.

Computed properties:
calculated volume = 224.76 Å³/f.u.
energy relative to the elements = -0.359 eV/atom
SG = No. 166

Cell: 5.3978 5.3978 9.4370 Å, 73.38 73.38 60.00°
Last column: nearest neighbours and their distance in Å.
Fractional positions:
Ca  0.0000  0.0000  0.0000  8 Tl 3.34-3.39
Tl  0.6219  0.6219  0.1343  1 Li 3.26, 4 Nd 3.31-3.51, 3 Ca 3.34
Tl  0.8733  0.8733  0.3802  4 Nd 3.21-3.30, 3 Li 3.29, 1 Ca 3.39
Tl  0.1267  0.1267  0.6198  4 Nd 3.21-3.30, 3 Li 3.29, 1 Ca 3.39
Tl  0.3781  0.3781  0.8657  1 Li 3.26, 4 Nd 3.31-3.51, 3 Ca 3.34
Nd  0.2467  0.2467  0.2600  8 Tl 3.21-3.51
Nd  0.7533  0.7533  0.7400  8 Tl 3.21-3.51
Li  0.5000  0.5000  0.5000  8 Tl 3.26-3.29

=====

Density functional theory data (PBE) for Sm2Y5Tm after structural relaxation.

Computed properties:
calculated volume = 269.86 Å³/f.u.
energy relative to the elements = 0.312 eV/atom
energy above the most stable polymorph in this dataset = 0.290 eV per atom
SG = No. 15

Cell: 14.6703 14.6703 9.1323 Å, 61.66 61.66 119.93°
Last column: nearest neighbours and their distance in Å.
Fractional positions:
Y  0.9802  0.1114  0.3809  3 Y 3.12-3.48, 1 Sm 3.19
Y  0.5226  0.8178  0.3369  4 Y 3.15-3.43, 1 Sm 3.28, 1 Tm 3.53
Y  0.8178  0.5226  0.8369  4 Y 3.15-3.43, 1 Sm 3.28, 1 Tm 3.53
Y  0.6354  0.3646  0.7500  4 Y 3.12-3.28, 2 Sm 3.36
Y  0.0198  0.8886  0.6191  3 Y 3.12-3.48, 1 Sm 3.19
Y  0.8886  0.0198  0.1191  3 Y 3.12-3.48, 1 Sm 3.19
Y  0.1822  0.4774  0.1631  4 Y 3.15-3.43, 1 Sm 3.28, 1 Tm 3.53
Y  0.3646  0.6354  0.2500  4 Y 3.12-3.28, 2 Sm 3.36
Y  0.1114  0.9802  0.8809  3 Y 3.12-3.48, 1 Sm 3.19
Y  0.4774  0.1822  0.6631  4 Y 3.15-3.43, 1 Sm 3.28, 1 Tm 3.53
Sm  0.5000  0.5000  0.0000  2 Y 3.19
Sm  0.5000  0.0000  0.0000  4 Y 3.28-3.36, 2 Sm 3.34
Sm  0.5000  0.5000  0.5000  2 Y 3.19
Sm  0.0000  0.5000  0.5000  4 Y 3.28-3.36, 2 Sm 3.34
Tm  0.1999  0.8001  0.7500  6 Y 3.53-3.88, 4 Sm 3.78-3.84
Tm  0.8001  0.1999  0.2500  6 Y 3.53-3.88, 4 Sm 3.78-3.84